No. 1
Here is a geometry-optimized HoHSO5 structure from Alexandria via LeMat-Bulk. Energies are from PBEsol.

extended XYZ file:
```
64
Lattice="7.895 0.005 0.000 -0.552 8.007 0.000 0.000 0.000 10.847" Properties=species:S:1:pos:R:3 pbc="T T T"
Ho 5.191 3.288 0.815
Ho 0.968 7.290 4.608
Ho 2.151 4.724 10.032
Ho 6.375 0.722 6.239
Ho 4.723 6.986 0.665
Ho 1.052 2.980 4.759
Ho 2.619 1.026 10.183
Ho 6.290 5.032 6.088
H 4.932 4.927 9.544
H 1.261 0.921 6.727
H 2.410 3.085 1.304
H 6.081 7.091 4.120
H 1.921 6.867 0.966
H 6.144 2.866 4.458
H 5.422 1.145 9.881
H 1.198 5.146 6.390
S -0.002 5.067 2.072
S 4.221 1.065 3.352
S 7.345 2.945 8.775
S 3.121 6.947 7.495
S 7.820 1.080 1.847
S 3.597 5.082 3.577
S -0.478 6.932 9.001
S 3.746 2.930 7.270
O 4.388 5.050 10.352
O 0.717 1.044 5.919
O 2.954 2.962 0.496
O 6.626 6.968 4.928
O 2.455 6.861 0.136
O 6.678 2.859 5.287
O 4.888 1.152 10.711
O 0.664 5.153 5.560
O 6.579 5.195 1.374
O 2.908 1.189 4.049
O 0.763 2.817 9.473
O 4.435 6.823 6.798
O 1.007 4.556 1.125
O 5.231 0.554 4.299
O 6.335 3.456 9.722
O 2.112 7.458 6.549
O -0.178 4.144 3.207
O 4.045 0.142 2.216
O 7.520 3.868 7.640
O 3.297 7.870 8.631
O 0.473 6.377 2.577
O 4.696 2.376 2.847
O 6.869 1.635 8.271
O 2.646 5.636 8.000
O 7.154 2.288 1.353
O 2.931 6.289 4.071
O 0.188 5.724 9.494
O 4.412 1.723 6.776
O 6.320 7.960 1.864
O 2.648 3.954 3.560
O 1.023 0.052 8.983
O 4.694 4.058 7.287
O 1.103 0.784 1.008
O 4.774 4.790 4.415
O 6.239 7.228 9.839
O 2.568 3.222 6.432
O 0.394 1.258 3.264
O 4.065 5.264 2.160
O 6.948 6.754 7.584
O 3.277 2.748 8.687
```

space-group type = P2_1/c, No. 14
electronic total energy = -7.030 eV/atom

---

No. 2
Here is a geometry-optimized InHI2N structure from Alexandria via LeMat-Bulk. Energies are from PBEsol.

extended XYZ file:
```
5
Lattice="3.005 0.000 0.000 0.000 6.272 0.000 0.000 0.000 6.272" Properties=species:S:1:pos:R:3 pbc="T T T"
I 0.000 0.000 3.136
I 0.000 3.136 0.000
H 0.000 0.000 0.000
N 1.503 0.000 0.000
In 1.503 3.136 3.136
```

space-group type = P4/mmm, No. 123
electronic total energy = -2.891 eV/atom

---

No. 3
Here is a geometry-optimized InHIN2 structure from Alexandria via LeMat-Bulk. Energies are from PBEsol.

extended XYZ file:
```
5
Lattice="-1.660 2.990 0.497 -3.572 -2.181 1.189 1.343 0.057 4.138" Properties=species:S:1:pos:R:3 pbc="T T T"
I -0.830 1.495 0.249
H 0.000 0.000 0.000
N 0.671 0.029 2.069
N -1.786 -1.090 0.595
In -1.945 0.433 2.912
```

space-group type = P4/mmm, No. 123
electronic total energy = -3.143 eV/atom

---

No. 4
Here is a geometry-optimized InTe2HI structure from Alexandria via LeMat-Bulk. Energies are from PBEsol.

extended XYZ file:
```
5
Lattice="-4.374 1.947 2.976 -0.585 -5.047 2.443 3.689 1.668 4.331" Properties=species:S:1:pos:R:3 pbc="T T T"
I 1.845 0.834 2.165
H -0.635 -0.716 4.875
Te -0.292 -2.524 1.221
Te -2.187 0.974 1.488
In 0.000 0.000 0.000
```

space-group type = P4/mmm, No. 123
electronic total energy = -2.258 eV/atom

---

No. 5
Here is a geometry-optimized H2IrIO structure from Alexandria via LeMat-Bulk. Energies are from PBEsol.

extended XYZ file:
```
5
Lattice="-1.401 2.575 2.233 -3.471 0.082 -2.273 -1.638 -2.967 2.394" Properties=species:S:1:pos:R:3 pbc="T T T"
I -3.255 -0.155 1.177
H -0.819 -1.484 1.197
H -1.735 0.041 -1.136
Ir 0.000 0.000 0.000
O -0.701 1.288 1.117
```

space-group type = P4/mmm, No. 123
electronic total energy = -4.159 eV/atom

---

No. 6
Here is a geometry-optimized K2HI structure from Alexandria via LeMat-Bulk. Energies are from PBEsol.

extended XYZ file:
```
8
Lattice="-5.497 -1.145 -4.262 1.862 -5.804 3.541 -5.799 -1.801 3.580" Properties=species:S:1:pos:R:3 pbc="T T T"
I 0.000 0.000 0.000
I -3.733 -2.474 -0.351
H -1.969 -3.803 3.560
H -5.701 -6.276 3.210
K -0.336 -2.993 1.714
K -7.183 -6.758 1.135
K -3.785 -4.931 2.092
K -7.564 -2.818 0.777
```

space-group type = I-42d, No. 122
electronic total energy = -2.602 eV/atom

---

No. 7
Here is a geometry-optimized KHI structure from Alexandria via LeMat-Bulk. Energies are from PBEsol.

extended XYZ file:
```
6
Lattice="4.847 0.000 0.000 2.424 4.198 0.000 2.424 1.399 8.500" Properties=species:S:1:pos:R:3 pbc="T T T"
I 2.424 1.399 1.229
I 4.847 2.799 5.350
H 7.271 4.198 7.189
H 7.271 4.198 7.961
K 2.424 1.399 7.504
K 7.271 4.198 3.306
```

space-group type = R3m, No. 160
electronic total energy = -3.015 eV/atom

---

No. 8
Here is a geometry-optimized K2MgH4I4O14 structure from Alexandria via LeMat-Bulk. Energies are from PBEsol.

extended XYZ file:
```
25
Lattice="-7.316 1.977 1.975 2.158 -7.427 -1.228 5.600 0.661 5.427" Properties=species:S:1:pos:R:3 pbc="T T T"
K -4.498 -4.753 0.651
K -1.789 -1.890 0.259
Mg -2.986 -0.930 4.009
H -1.772 1.461 4.128
H -0.716 0.360 3.385
H 2.332 -4.635 1.474
H 2.826 -4.879 3.101
I 4.796 -4.922 5.042
I -5.416 -0.990 1.285
I 1.243 -1.751 3.003
I -1.776 -4.069 3.312
O 2.946 -4.369 2.235
O 5.679 -6.016 3.859
O 0.922 -1.973 0.508
O 4.811 -3.343 4.102
O -3.729 -0.770 1.979
O 0.621 -0.076 2.646
O -0.031 -4.558 3.506
O -1.621 0.512 3.811
O 3.036 -1.375 2.734
O -1.483 -2.241 3.279
O 3.063 -5.403 4.585
O 1.599 -4.636 0.062
O 1.305 -1.686 4.839
O -1.965 -4.268 1.494
```

space-group type = C2, No. 5
electronic total energy = -4.914 eV/atom

---

No. 9
Here is a geometry-optimized K2MnH4I4O14 structure from Alexandria via LeMat-Bulk. Energies are from PBEsol.

extended XYZ file:
```
25
Lattice="7.548 0.000 0.000 3.774 6.908 0.079 3.774 2.095 6.537" Properties=species:S:1:pos:R:3 pbc="T T T"
K 4.913 0.000 0.000
K 0.962 0.000 0.000
Mn 8.222 4.501 3.308
H 10.797 3.657 3.489
H 10.797 5.346 3.126
H 5.620 4.436 2.440
H 5.620 4.567 4.175
I 6.751 5.487 6.533
I 6.751 3.516 0.082
I 6.831 1.313 3.367
I 6.831 7.690 3.248
O 6.147 4.501 3.308
O 10.258 4.501 3.308
O 8.380 2.339 3.520
O 8.380 6.664 3.095
O 11.416 6.730 2.776
O 3.868 2.273 3.839
O 6.696 7.134 5.716
O 6.696 1.869 0.899
O 7.993 4.644 5.450
O 7.993 4.359 1.165
O 10.502 7.776 5.227
O 2.953 1.227 1.388
O 5.268 4.735 5.702
O 5.268 4.268 0.913
```

space-group type = C2, No. 5
electronic total energy = -5.104 eV/atom

---

No. 10
Here is a geometry-optimized K2NaH10IO10 structure from Alexandria via LeMat-Bulk. Energies are from PBEsol.

extended XYZ file:
```
48
Lattice="6.790 0.028 -0.020 -0.370 7.235 0.042 -3.276 -1.664 9.819" Properties=species:S:1:pos:R:3 pbc="T T T"
K 1.939 1.545 6.209
K 1.206 4.055 3.632
K 3.210 1.941 1.452
K -0.065 3.658 8.389
Na 4.267 5.409 2.308
Na -1.123 0.190 7.532
H -2.498 5.499 9.518
H 5.643 0.100 0.323
H 3.590 -0.677 5.533
H -0.445 6.277 4.307
H 1.543 -0.328 8.499
H 1.602 5.927 1.342
H 1.350 1.126 9.195
H 1.795 4.474 0.646
H 4.642 2.774 3.630
H -1.498 2.825 6.211
H 4.064 3.862 4.648
H -0.919 1.737 5.193
H 2.681 0.169 3.775
H 0.464 5.431 6.066
H 4.305 0.294 3.847
H -1.161 5.305 5.994
H 5.787 3.375 1.025
H -2.642 2.225 8.816
H 2.328 2.780 9.630
H 0.817 2.820 0.211
I 3.082 4.814 7.392
I 0.062 0.786 2.449
O -2.197 5.350 8.538
O 5.342 0.250 1.303
O 3.619 -0.622 6.566
O -0.474 6.221 3.275
O 4.434 4.258 6.196
O -1.289 1.342 3.645
O 1.919 5.531 8.662
O 1.226 0.069 1.179
O 3.007 3.130 8.199
O 0.137 2.470 1.642
O 1.704 4.397 6.229
O 1.441 1.202 3.611
O 0.941 0.495 8.533
O 2.203 5.104 1.307
O 3.991 3.542 3.690
O -0.846 2.058 6.151
O 3.531 -0.356 3.987
O -0.386 5.955 5.854
O 5.093 3.957 0.544
O -1.948 1.642 9.297
```

space-group type = P-1, No. 2
electronic total energy = -4.921 eV/atom

---

No. 11
Here is a geometry-optimized KH2I3O structure from Alexandria via LeMat-Bulk. Energies are from PBEsol.

extended XYZ file:
```
14
Lattice="4.580 0.022 0.000 -0.710 8.459 0.000 0.000 0.000 9.817" Properties=species:S:1:pos:R:3 pbc="T T T"
H 2.725 3.196 7.894
H 0.080 7.415 1.923
H 2.753 2.939 6.354
H 0.108 7.158 3.463
I -0.032 3.455 4.508
I 1.903 7.696 5.308
I 3.578 1.683 2.379
I 0.933 5.902 7.438
I 1.968 8.362 0.240
I 0.033 4.121 9.577
K 0.334 1.029 7.454
K 2.269 5.270 2.363
O 2.564 2.499 7.217
O -0.081 6.717 2.600
```

space-group type = Pc, No. 7
electronic total energy = -3.474 eV/atom

---

No. 12
Here is a geometry-optimized KHI2O6 structure from Alexandria via LeMat-Bulk. Energies are from PBEsol.

extended XYZ file:
```
40
Lattice="7.344 0.000 0.000 0.000 8.542 0.027 0.000 -3.901 9.601" Properties=species:S:1:pos:R:3 pbc="T T T"
K 1.798 6.375 1.928
K 1.874 2.104 1.914
K 5.470 2.538 7.714
K 5.547 -1.733 7.701
H 0.000 4.271 0.014
H 3.672 0.000 0.000
H 0.000 2.321 4.814
H 3.672 -1.950 4.801
I 5.058 4.336 1.236
I 5.958 0.065 1.222
I 6.814 4.905 4.781
I 3.142 4.008 4.862
I 4.202 0.633 4.767
I 0.530 -0.263 4.848
I 1.386 4.577 8.407
I 2.286 0.305 8.393
O 3.972 5.611 0.538
O 1.173 4.272 0.295
O 7.045 1.340 0.525
O 6.161 5.347 2.279
O 2.499 0.000 0.281
O 3.312 4.254 3.053
O 4.855 1.075 2.265
O 1.056 5.813 4.476
O 0.269 3.318 4.190
O 0.360 -0.017 3.040
O 3.941 5.595 5.452
O 2.616 1.542 4.463
O 4.728 3.100 5.166
O 3.403 -0.953 4.177
O 6.984 4.659 6.589
O 7.076 1.324 5.438
O 6.288 -1.171 5.152
O 2.489 3.566 7.363
O 4.032 0.388 6.575
O 4.846 4.641 9.347
O 1.183 -0.705 7.350
O 0.300 3.302 9.104
O 6.171 0.370 9.333
O 3.372 -0.969 9.090
```

space-group type = P2_1/c, No. 14
electronic total energy = -4.713 eV/atom

---

What did the second record say?
Here is a geometry-optimized InHI2N structure from Alexandria via LeMat-Bulk. Energies are from PBEsol.

extended XYZ file:
```
5
Lattice="3.005 0.000 0.000 0.000 6.272 0.000 0.000 0.000 6.272" Properties=species:S:1:pos:R:3 pbc="T T T"
I 0.000 0.000 3.136
I 0.000 3.136 0.000
H 0.000 0.000 0.000
N 1.503 0.000 0.000
In 1.503 3.136 3.136
```

space-group type = P4/mmm, No. 123
electronic total energy = -2.891 eV/atom

---

Q: Look up the electronic total energy of the fifth one.
A: -4.159 eV/atom

---

Q: Which formula does entry 1 have?
A: HoHSO5